Entry 1:
# HfCl

HfCl after structural relaxation (PBE, Alexandria).

It has space group I-43m (No. 217), with a = 8.297 Å, b = 8.297 Å, c = 8.297 Å, α = 90.00°, β = 90.00° and γ = 90.00°. The asymmetric unit holds Hf at (0.123, 0.123, 0.877) and Cl at (0.193, 0.193, 0.193).

The calculation puts the density of states at the Fermi level at 2.3 states/eV/f.u. The formation energy from raw total energies comes out at 27 kJ/mol of formula units.



Entry 2:
# HfCl

HfCl after structural relaxation (PBE, Alexandria).

It has space group Pmmn (No. 59, origin choice 2), with a = 3.250 Å, b = 12.072 Å, c = 6.460 Å, α = 90.00°, β = 90.00° and γ = 90.00°. The asymmetric unit holds Hf at (0.250, 0.119, 0.002), Hf at (0.250, 0.750, 0.304), Cl at (0.250, 0.250, 0.345) and Cl at (0.250, 0.536, 0.287).

The calculation puts the density of states at the Fermi level at 0.8 states/eV/f.u. The formation energy from raw total energies comes out at -144 kJ/mol of formula units.



Entry 3:
# HfHgCl2

HfHgCl2 after structural relaxation (PBE, Alexandria).

It has space group Fm-3m (No. 225), with a = 6.953 Å, b = 6.953 Å, c = 6.953 Å, α = 90.00°, β = 90.00° and γ = 90.00°. The asymmetric unit holds Hf at (0.000, 0.000, 0.000), Hg at (0.000, 0.000, 0.500) and Cl at (0.250, 0.250, 0.250).

The energy above the most stable polymorph in this dataset comes out at 0.9233 eV/atom. The calculation puts the density of states at the Fermi level at 1.9 states/eV/f.u. The formation energy from raw total energies comes out at -38 kJ/mol of formula units.



Entry 4:
# HfHg3Cl

HfHg3Cl after structural relaxation (PBE, Alexandria).

It has space group Pm-3m (No. 221), with a = 5.644 Å, b = 5.644 Å, c = 5.644 Å, α = 90.00°, β = 90.00° and γ = 90.00°. The asymmetric unit holds Hf at (0.000, 0.000, 0.000), Hg at (0.000, 0.000, 0.500) and Cl at (0.500, 0.500, 0.500).

The energy above the most stable polymorph in this dataset comes out at 0.0000 eV/atom. The calculation puts the density of states at the Fermi level at 4.6 states/eV/f.u. The formation energy from raw total energies comes out at 176 kJ/mol of formula units.



Entry 5:
# HfHgCl6

HfHgCl6 after structural relaxation (PBE, Alexandria).

It has space group P-1 (No. 2), with a = 6.503 Å, b = 6.504 Å, c = 6.982 Å, α = 117.72°, β = 90.05° and γ = 119.97°. The asymmetric unit holds Hf at (0.000, 0.000, 0.000), Hg at (0.500, 0.000, 0.500), Cl at (0.078, 0.846, 0.238), Cl at (0.231, 0.839, 0.762) and Cl at (0.392, 0.469, 0.238).

The energy above the most stable polymorph in this dataset comes out at 0.0108 eV/atom. The calculation puts the density of states at the Fermi level at 0.0 states/eV/f.u. The formation energy from raw total energies comes out at -1010 kJ/mol of formula units.



Entry 6:
# Hf2Hg2Cl

Hf2Hg2Cl after structural relaxation (PBE, Alexandria).

It has space group P4/mbm (No. 127), with a = 6.839 Å, b = 6.839 Å, c = 4.603 Å, α = 90.00°, β = 90.00° and γ = 90.00°. The asymmetric unit holds Hf at (0.158, 0.342, 0.000), Hg at (0.154, 0.654, 0.500) and Cl at (0.000, 0.000, 0.000).

The calculation puts the density of states at the Fermi level at 3.1 states/eV/f.u. The formation energy from raw total energies comes out at -129 kJ/mol of formula units.



Question: formation energy from raw total energies of number 2 (HfCl)?
Answer: -144 kJ/mol of formula units



Copy entry 5 word for word.
# HfHgCl6

HfHgCl6 after structural relaxation (PBE, Alexandria).

It has space group P-1 (No. 2), with a = 6.503 Å, b = 6.504 Å, c = 6.982 Å, α = 117.72°, β = 90.05° and γ = 119.97°. The asymmetric unit holds Hf at (0.000, 0.000, 0.000), Hg at (0.500, 0.000, 0.500), Cl at (0.078, 0.846, 0.238), Cl at (0.231, 0.839, 0.762) and Cl at (0.392, 0.469, 0.238).

The energy above the most stable polymorph in this dataset comes out at 0.0108 eV/atom. The calculation puts the density of states at the Fermi level at 0.0 states/eV/f.u. The formation energy from raw total energies comes out at -1010 kJ/mol of formula units.



Question: formation energy from raw total energies of number 5 (HfHgCl6)?
Answer: -1010 kJ/mol of formula units